A plane-wave DFT calculation with PBE with a Hubbard U was carried out for crystalline LiEr2MoO6 at its relaxed geometry.

Total energy = -74.9 eV for the cell shown
Calculated volume = 13.14 Å³/atom
Crystal system = triclinic
Symmetry = P1, No. 1

Lattice parameters (Å, degrees): 5.4939 5.5276 5.8896 62.09 89.36 60.24
With the nearest neighbours (Å) after each atom.
Fractional coordinates of all 10 atoms:
Li: 0.0000 0.0000 0.0000  3 O 2.00-2.03
Er: 0.2567 0.4822 0.7685  6 O 2.20-2.34
Er: 0.7578 0.4906 0.2780  6 O 2.18-2.38
Mo: 0.4630 0.0809 0.3792  6 O 1.90-2.11
O: 0.0956 0.5537 0.1095  1 Li 2.00, 1 Mo 2.09, 1 Er 2.20
O: 0.2099 0.9795 0.5630  1 Mo 1.90
O: 0.3621 0.9852 0.0979  1 Li 2.03, 1 Mo 2.11, 2 Er 2.18-2.26
O: 0.5654 0.2447 0.5765  1 Mo 2.00
O: 0.6581 0.2497 0.1124  1 Mo 2.02, 1 Li 2.03, 1 Er 2.23
O: 0.8278 0.6251 0.5740  1 Mo 2.00, 1 Er 2.20